Run i
Compound: Cu2SnRh2
Source: the Alexandria database
Functional: PBE
Structure: optimized geometry

```
Cu2SnRh2
1.0
6.873 0.000 0.000
0.000 6.873 0.000
0.000 0.000 3.158
Cu Sn Rh
4 2 4
direct
0.125 0.375 0.000
0.375 0.875 0.000
0.625 0.125 0.000
0.875 0.625 0.000
0.000 0.000 0.000
0.500 0.500 0.000
0.171 0.671 0.500
0.329 0.171 0.500
0.671 0.829 0.500
0.829 0.329 0.500
```

Computed properties:
DOS(E_F) = 0.310 states/eV/atom
crystal system = tetragonal

Run ii
Compound: Cu2SnRh2
Source: the Alexandria database
Functional: PBE
Structure: optimized geometry

```
Cu2SnRh2
1.0
3.732 0.000 0.000
0.000 3.732 0.000
0.000 0.000 11.726
Cu Sn Rh
4 2 4
direct
0.000 0.000 0.101
0.000 0.000 0.899
0.500 0.500 0.399
0.500 0.500 0.601
0.000 0.000 0.500
0.500 0.500 0.000
0.000 0.500 0.250
0.000 0.500 0.750
0.500 0.000 0.250
0.500 0.000 0.750
```

Computed properties:
DOS(E_F) = 1.234 states/eV/atom
crystal system = tetragonal

Most stable structure - run i; separation to the second - 239 meV per atom.

Run i
Compound: CuSnRh3
Source: the Alexandria database
Functional: PBE
Structure: optimized geometry

```
CuSnRh3
1.0
6.460 0.000 0.000
-3.230 5.595 0.000
0.000 0.000 4.543
Cu Sn Rh
2 2 6
direct
0.000 0.000 0.000
0.000 0.000 0.500
0.333 0.667 0.250
0.667 0.333 0.750
0.195 0.390 0.750
0.195 0.805 0.750
0.390 0.195 0.250
0.610 0.805 0.750
0.805 0.195 0.250
0.805 0.610 0.250
```

Computed properties:
DOS(E_F) = 1.632 states/eV/atom
crystal system = hexagonal

Run ii
Compound: CuSnRh3
Source: the Alexandria database
Functional: PBE
Structure: optimized geometry

```
CuSnRh3
1.0
4.505 0.000 0.000
0.000 4.505 0.000
0.000 0.000 4.505
Cu Sn Rh
1 1 3
direct
0.000 0.000 0.000
0.500 0.500 0.500
0.000 0.000 0.500
0.000 0.500 0.000
0.500 0.000 0.000
```

Computed properties:
DOS(E_F) = 1.506 states/eV/atom
crystal system = cubic

Most stable structure - run i; separation to the second - 551 meV per atom.